(1)
Material: AcPrSm2Er
Method: DFT, PBE
State: optimized geometry

a = 7.3719 Å, b = 8.3505 Å, c = 7.4078 Å
α = 124.31°, β = 90.00°, γ = 90.00°
Closest atoms and distances in Å follow each position.
Element x y z (fractional)
Sm  0.5000  0.3053  0.0000  2 Pr 3.23, 1 Sm 3.25, 2 Er 3.39
Pr  0.7500  0.9394  0.8788  1 Er 3.05, 4 Sm 3.23
Pr  0.2500  0.0606  0.1212  1 Er 3.05, 4 Sm 3.23
Sm  0.0000  0.3053  0.0000  2 Pr 3.23, 1 Sm 3.25, 2 Er 3.39
Ac  0.7500  0.2435  0.4869  1 Pr 3.72, 2 Er 3.77, 4 Sm 3.99
Er  0.2500  0.3097  0.6193  1 Pr 3.05, 4 Sm 3.39
Sm  0.0000  0.6947  0.0000  2 Pr 3.23, 1 Sm 3.25, 2 Er 3.39
Er  0.7500  0.6903  0.3807  1 Pr 3.05, 4 Sm 3.39
Ac  0.2500  0.7565  0.5131  1 Pr 3.72, 2 Er 3.77, 4 Sm 3.99
Sm  0.5000  0.6947  0.0000  2 Pr 3.23, 1 Sm 3.25, 2 Er 3.39

Computed properties:
ρ, Mg/m³: 7.4
Electronic total energy, eV/atom: -4.2313
SG: Cmcm, No. 63
Calculated formation energy, eV/atom: 0.346
Total moment, μB per atom: 0.000

---

(2)
Material: Nd7Sm3
Method: DFT, PBE
State: optimized geometry

a = 5.1853 Å, b = 7.3401 Å, c = 9.6888 Å
α = 100.97°, β = 105.52°, γ = 90.00°
Closest atoms and distances in Å follow each position.
Element x y z (fractional)
Sm  0.2005  0.5999  0.4010  10 Nd 3.65-3.67, 2 Sm 3.66
Nd  0.0000  0.5000  0.0000  8 Nd 3.66-3.67, 4 Sm 3.67
Sm  0.0000  0.0000  0.0000  12 Nd 3.66-3.67
Nd  0.7999  0.8997  0.5999  5 Sm 3.66-3.67, 7 Nd 3.66-3.67
Nd  0.4001  0.2005  0.8001  8 Nd 3.66-3.67, 4 Sm 3.67
Nd  0.3998  0.6997  0.7995  5 Sm 3.65-3.67, 7 Nd 3.66-3.67
Sm  0.7995  0.4001  0.5990  10 Nd 3.65-3.67, 2 Sm 3.66
Nd  0.5999  0.7995  0.1999  8 Nd 3.66-3.67, 4 Sm 3.67
Nd  0.2001  0.1003  0.4001  5 Sm 3.66-3.67, 7 Nd 3.66-3.67
Nd  0.6002  0.3003  0.2005  5 Sm 3.65-3.67, 7 Nd 3.66-3.67

Computed properties:
ρ, Mg/m³: 7.0
Electronic total energy, eV/atom: -4.7391
SG: C2/m, No. 12
Calculated formation energy, eV/atom: 0.014
ΔE to the lowest computed polymorph, meV per atom: 0
Total moment, μB per atom: 0.000

---

Please write out number 1 again, unchanged.
Material: AcPrSm2Er
Method: DFT, PBE
State: optimized geometry

a = 7.3719 Å, b = 8.3505 Å, c = 7.4078 Å
α = 124.31°, β = 90.00°, γ = 90.00°
Closest atoms and distances in Å follow each position.
Element x y z (fractional)
Sm  0.5000  0.3053  0.0000  2 Pr 3.23, 1 Sm 3.25, 2 Er 3.39
Pr  0.7500  0.9394  0.8788  1 Er 3.05, 4 Sm 3.23
Pr  0.2500  0.0606  0.1212  1 Er 3.05, 4 Sm 3.23
Sm  0.0000  0.3053  0.0000  2 Pr 3.23, 1 Sm 3.25, 2 Er 3.39
Ac  0.7500  0.2435  0.4869  1 Pr 3.72, 2 Er 3.77, 4 Sm 3.99
Er  0.2500  0.3097  0.6193  1 Pr 3.05, 4 Sm 3.39
Sm  0.0000  0.6947  0.0000  2 Pr 3.23, 1 Sm 3.25, 2 Er 3.39
Er  0.7500  0.6903  0.3807  1 Pr 3.05, 4 Sm 3.39
Ac  0.2500  0.7565  0.5131  1 Pr 3.72, 2 Er 3.77, 4 Sm 3.99
Sm  0.5000  0.6947  0.0000  2 Pr 3.23, 1 Sm 3.25, 2 Er 3.39

Computed properties:
ρ, Mg/m³: 7.4
Electronic total energy, eV/atom: -4.2313
SG: Cmcm, No. 63
Calculated formation energy, eV/atom: 0.346
Total moment, μB per atom: 0.000

---

The lowest calculated formation energy belongs to which entry?
Nd7Sm3

---

Please write out number 2 again, unchanged.
Material: Nd7Sm3
Method: DFT, PBE
State: optimized geometry

a = 5.1853 Å, b = 7.3401 Å, c = 9.6888 Å
α = 100.97°, β = 105.52°, γ = 90.00°
Closest atoms and distances in Å follow each position.
Element x y z (fractional)
Sm  0.2005  0.5999  0.4010  10 Nd 3.65-3.67, 2 Sm 3.66
Nd  0.0000  0.5000  0.0000  8 Nd 3.66-3.67, 4 Sm 3.67
Sm  0.0000  0.0000  0.0000  12 Nd 3.66-3.67
Nd  0.7999  0.8997  0.5999  5 Sm 3.66-3.67, 7 Nd 3.66-3.67
Nd  0.4001  0.2005  0.8001  8 Nd 3.66-3.67, 4 Sm 3.67
Nd  0.3998  0.6997  0.7995  5 Sm 3.65-3.67, 7 Nd 3.66-3.67
Sm  0.7995  0.4001  0.5990  10 Nd 3.65-3.67, 2 Sm 3.66
Nd  0.5999  0.7995  0.1999  8 Nd 3.66-3.67, 4 Sm 3.67
Nd  0.2001  0.1003  0.4001  5 Sm 3.66-3.67, 7 Nd 3.66-3.67
Nd  0.6002  0.3003  0.2005  5 Sm 3.65-3.67, 7 Nd 3.66-3.67

Computed properties:
ρ, Mg/m³: 7.0
Electronic total energy, eV/atom: -4.7391
SG: C2/m, No. 12
Calculated formation energy, eV/atom: 0.014
ΔE to the lowest computed polymorph, meV per atom: 0
Total moment, μB per atom: 0.000

---

Number 2 is which compound?
Nd7Sm3